1.
MnNiOs2 | PBE | optimized geometry

Cell: 4.0012 2.6346 4.9986 Å, 74.72 90.00 90.00°
Closest atoms and distances in Å follow each position.
Atoms (fractional coordinates):
Mn  0.0000  0.6897  0.4951  2 Ni 2.36, 7 Os 2.54-2.63, 2 Mn 2.63
Ni  0.5000  0.5596  0.7565  2 Mn 2.36, 7 Os 2.53-2.65, 2 Ni 2.63
Os  0.0000  0.9537  0.9678  3 Mn 2.54-2.63, 4 Ni 2.60, 6 Os 2.63-2.83
Os  0.5000  0.2970  0.2806  3 Ni 2.53-2.65, 4 Mn 2.61, 4 Os 2.63-2.83

calculated total energy: -9.23 eV/atom
M_tot: 1.07 μB per formula unit
symmetry: Amm2, No. 38
calculated formation energy: 125 meV/atom

2.
RbMnNi2Os | PBE | optimized geometry

Cell: 4.6334 5.6178 4.6334 Å, 90.00 90.00 90.00°
Closest atoms and distances in Å follow each position.
Atoms (fractional coordinates):
Ni  0.0000  0.0000  0.5000  2 Os 2.32
Ni  0.5000  0.0000  0.0000  2 Os 2.32
Mn  0.5000  0.5000  0.5000  4 Rb 3.28, 8 Ni 3.64
Os  0.0000  0.0000  0.0000  4 Ni 2.32
Rb  0.0000  0.5000  0.0000  2 Os 2.81

calculated total energy: -4.79 eV/atom
M_tot: 5.64 μB per formula unit
symmetry: P4/mmm, No. 123
calculated formation energy: 1798 meV/atom

3.
Sr2MnNiOs | PBE | optimized geometry

Cell: 5.4510 4.5536 5.4510 Å, 90.00 90.00 90.00°
Closest atoms and distances in Å follow each position.
Atoms (fractional coordinates):
Sr  0.0000  0.0000  0.5000  2 Ni 2.73
Sr  0.5000  0.0000  0.0000  2 Ni 2.73
Mn  0.0000  0.5000  0.0000  2 Ni 2.28
Os  0.5000  0.5000  0.5000  8 Sr 3.55, 4 Mn 3.85
Ni  0.0000  0.0000  0.0000  2 Mn 2.28

calculated total energy: -4.82 eV/atom
M_tot: 2.84 μB per formula unit
symmetry: P4/mmm, No. 123
calculated formation energy: 1088 meV/atom

4.
TiMnNiOs | PBE | optimized geometry

Cell: 4.2737 4.2737 4.2737 Å, 60.00 60.00 60.00°
Closest atoms and distances in Å follow each position.
Atoms (fractional coordinates):
Ni  0.5000  0.5000  0.5000  4 Mn 2.62, 4 Ti 2.62
Mn  0.7500  0.7500  0.7500  4 Os 2.62, 4 Ni 2.62
Os  0.0000  0.0000  0.0000  4 Ti 2.62, 4 Mn 2.62
Ti  0.2500  0.2500  0.2500  4 Ni 2.62, 4 Os 2.62

calculated total energy: -8.71 eV/atom
M_tot: 4.43 μB per formula unit
symmetry: F-43m, No. 216
calculated formation energy: -193 meV/atom